No. 1
Below is a relaxed Sc2BeSe crystal, with properties calculated at the PBE-GGA level.

Summary:
Relative energy among the computed polymorphs   371 meV/atom
Calculated volume   19.60 Å³ per atom
ΔE_f (raw)   -131 kJ/mol of formula units
Symmetry   I-42d (122)

Geometry as POSCAR:
```
Sc2BeSe
1.0
-6.7575 -1.8312 0.6316
-0.0190 -2.2296 -6.6667
-2.5138 -4.9242 -2.0522
Sc Be Se
4 2 2
Cartesian
-4.7980 -2.6390 -0.9569
-1.5412 -2.8687 -4.5955
-4.4266 -5.2345 -3.8578
-7.8145 -7.2278 -6.7643
-3.3882 -2.0304 -3.0175
-2.9605 -4.5921 -5.8682
0.0000 0.0000 0.0000
-6.3297 -4.3929 -2.2190
```

=====

No. 2
Below is a relaxed Sm6Bi2Te3Se crystal, with properties calculated at the PBE-GGA level.

Summary:
Calculated volume   31.07 Å³ per atom
ΔE_f (raw)   -1518 kJ/mol of formula units
Symmetry   C2/m (12)

Geometry as POSCAR:
```
Sm6Bi2Te3Se
1.0
-3.3068 -1.6505 -2.4425
-0.3663 -7.1267 5.3117
-4.5373 7.0663 5.3853
Sm Bi Te Se
6 2 3 1
Cartesian
-4.6304 -2.2581 7.7947
-3.9116 -2.9187 3.2506
-3.5800 0.5472 0.4597
-7.9021 3.8052 4.1097
-0.3083 -5.5161 4.1448
-4.2988 1.2078 5.0038
-6.0298 -1.4128 5.1008
-2.1806 -0.2981 3.1536
-1.8365 -4.3886 1.4346
-5.7812 2.1123 2.3821
-2.4292 -3.8232 5.8723
-1.6534 -0.8252 -1.2213
```

=====

No. 3
Below is a relaxed La2Dy4Er3 crystal, with properties calculated at the PBE-GGA level.

Summary:
Relative energy among the computed polymorphs   0 meV/atom
Calculated volume   32.91 Å³ per atom
Symmetry   P3m1 (156)
Energy of formation   0.0487 eV/atom

Geometry as POSCAR:
```
La2Dy4Er3
1.0
3.5972 0.0000 0.0000
-1.7986 3.1153 0.0000
0.0000 0.0000 26.4279
La Dy Er
2 4 3
Cartesian
1.7986 1.0384 2.4131
1.7986 1.0384 22.9447
0.0000 0.0000 14.3394
1.7986 1.0384 11.5133
1.7986 1.0384 5.9540
0.0000 0.0000 19.9294
0.0000 0.0000 25.9530
0.0000 0.0000 8.7010
1.7986 1.0384 17.1452
```

=====

No. 4
Below is a relaxed SnSb2Pd7 crystal, with properties calculated at the PBE-GGA level.

Summary:
Relative energy among the computed polymorphs   262 meV/atom
Calculated volume   20.01 Å³ per atom
ΔE_f (raw)   -170 kJ/mol of formula units
Symmetry   Cmmm (65)

Geometry as POSCAR:
```
SnSb2Pd7
1.0
3.2360 0.0000 0.0000
0.0000 8.8297 -0.8832
0.0000 -4.7717 7.4817
Sn Sb Pd
1 2 7
Cartesian
0.0000 0.0000 0.0000
1.6180 4.3159 1.8928
1.6180 -0.2579 4.7057
0.0000 6.0340 0.8362
0.0000 -1.9760 5.7623
1.6180 -0.5187 2.0831
1.6180 4.5767 4.5154
1.6180 2.0931 0.4769
1.6180 1.9649 6.1216
1.6180 2.0290 3.2992
```